(1)
Ca6SiAg5: optimized geometry, PBE.

The structure in POSCAR format:
```
Ca6SiAg5
1.0
5.056 0.002 -1.018
-0.003 7.498 -0.001
-0.893 0.000 8.116
Ag Ca Si
5 6 1
direct
0.000 0.500 0.000
0.332 0.000 0.655
0.336 0.500 0.664
0.668 0.000 0.345
0.664 0.500 0.336
0.500 0.759 0.000
0.841 0.246 0.677
0.159 0.246 0.323
0.841 0.754 0.677
0.159 0.754 0.323
0.500 0.241 0.000
0.000 0.000 0.000
```

Output
* energy: -35.64 eV/cell
* DOS at the Fermi energy: 0.618 states/eV per atom
* space group: P2/m
* raw formation energy: -329 meV/atom

***

(2)
Cs3Rb2H3F2: optimized geometry, PBE.

The structure in POSCAR format:
```
Cs3Rb2H3F2
1.0
4.907 0.000 0.000
0.000 4.907 0.000
-2.453 -2.453 13.949
F H Cs Rb
2 3 3 2
direct
0.750 0.250 0.500
0.250 0.750 0.500
0.500 0.500 0.000
0.108 0.108 0.216
0.892 0.892 0.784
0.613 0.613 0.226
0.000 0.000 0.000
0.387 0.387 0.774
0.213 0.213 0.426
0.787 0.787 0.574
```

Output
* energy: -29.25 eV/cell
* DOS at the Fermi energy: 0.000 states/eV per atom
* space group: I4/mmm

***

(3)
Pm7SmPb2: optimized geometry, PBE.

The structure in POSCAR format:
```
Pm7SmPb2
1.0
-0.284 3.003 -4.733
-9.074 -1.619 -0.482
3.007 7.449 4.546
Pm Pb Sm
7 2 1
direct
0.500 0.698 0.941
0.500 0.941 0.698
0.500 0.500 0.500
0.000 0.225 0.775
0.500 0.302 0.059
0.000 0.775 0.225
0.500 0.059 0.302
0.500 0.696 0.304
0.500 0.304 0.696
0.000 0.000 0.000
```

Output
* energy: -42.87 eV/cell
* DOS at the Fermi energy: 2.093 states/eV per atom
* formation enthalpy at 0 K: 252 meV/atom
* space group: Cmmm

***

(4)
AcAgSnPb: optimized geometry, PBE.

The structure in POSCAR format:
```
AcAgSnPb
1.0
5.527 0.000 0.000
2.763 4.786 0.000
2.763 1.595 4.513
Ag Sn Pb Ac
1 1 1 1
direct
0.750 0.750 0.750
0.250 0.250 0.250
0.000 0.000 0.000
0.500 0.500 0.500
```

Output
* energy: -15.68 eV/cell
* DOS at the Fermi energy: 0.648 states/eV per atom
* formation enthalpy at 0 K: -251 meV/atom
* space group: F-43m

***

(5)
DyLuBeIr: optimized geometry, PBE.

The structure in POSCAR format:
```
DyLuBeIr
1.0
-2.496 -2.549 -3.197
-0.599 -4.710 0.634
-4.313 -1.732 1.160
Ir Be Lu Dy
1 1 1 1
direct
0.000 0.000 0.000
0.500 0.500 0.500
0.250 0.250 0.250
0.750 0.750 0.750
```

Output
* energy: -23.53 eV/cell
* DOS at the Fermi energy: 0.638 states/eV per atom
* formation enthalpy at 0 K: -454 meV/atom
* space group: F-43m

***

(6)
HIr2Os: optimized geometry, PBE.

The structure in POSCAR format:
```
HIr2Os
1.0
0.172 -3.819 1.725
-2.756 -1.087 2.968
-2.988 -2.819 -0.844
Ir Os H
2 1 1
direct
0.250 0.250 0.250
0.750 0.750 0.750
0.500 0.500 0.500
0.000 0.000 0.000
```

Output
* energy: -28.83 eV/cell
* DOS at the Fermi energy: 1.296 states/eV per atom
* space group: Fm-3m
* energy above the most stable polymorph in this dataset: 398 meV/atom

***

(7)
TbTm2Ir2: optimized geometry, PBE.

The structure in POSCAR format:
```
TbTm2Ir2
1.0
-3.703 -2.974 0.047
-1.667 -1.652 4.129
-3.716 4.633 0.353
Ir Tb Tm
2 1 2
direct
0.167 0.667 0.826
0.833 0.333 0.174
0.500 0.000 0.000
0.833 0.333 0.662
0.167 0.667 0.338
```

Output
* energy: -35.40 eV/cell
* DOS at the Fermi energy: 0.602 states/eV per atom
* formation enthalpy at 0 K: -821 meV/atom
* space group: P-3m1
* energy above the most stable polymorph in this dataset: 0 meV/atom

***

(8)
MgAgRh2: optimized geometry, PBE.

The structure in POSCAR format:
```
MgAgRh2
1.0
-2.279 3.633 -2.227
-2.933 1.215 -3.643
-4.290 -0.132 2.207
Rh Ag Mg
2 1 1
direct
0.256 0.256 0.216
0.997 0.997 0.028
0.502 0.502 0.516
0.746 0.746 0.740
```

Output
* energy: -19.54 eV/cell
* DOS at the Fermi energy: 0.942 states/eV per atom
* formation enthalpy at 0 K: -98 meV/atom
* space group: Cm